## i
Material: Ca2AuCl
Method: DFT, PBE
State: relaxed

The structure in CIF format:
```
data_Ca2AuCl
_symmetry_space_group_name_H-M 'A m m 2'
_symmetry_Int_Tables_number 38
_symmetry_space_group_name_Hall 'A 2 -2'
_cell_length_a 4.642
_cell_length_b 3.793
_cell_length_c 12.124
_cell_angle_alpha 90.00
_cell_angle_beta 90.00
_cell_angle_gamma 90.00
loop_
_atom_site_label
_atom_site_fract_x
_atom_site_fract_y
_atom_site_fract_z
_atom_site_occupancy
Ca1 0.000 0.000 0.000 1
Ca2 0.500 0.000 0.259 1
Au1 0.500 0.000 0.528 1
Cl1 0.000 0.000 0.770 1
```

## ii
Material: Ca2AuCl
Method: DFT, PBE
State: relaxed

The structure in CIF format:
```
data_Ca2AuCl
_symmetry_space_group_name_H-M 'R 3 m'
_symmetry_Int_Tables_number 160
_symmetry_space_group_name_Hall 'R 3 -2"'
_cell_length_a 4.0404
_cell_length_b 4.0404
_cell_length_c 29.4950
_cell_angle_alpha 90.00
_cell_angle_beta 90.00
_cell_angle_gamma 120.00
loop_
_atom_site_label
_atom_site_fract_x
_atom_site_fract_y
_atom_site_fract_z
_atom_site_occupancy
Ca1 0.0000 0.0000 0.0000 1
Ca2 0.0000 0.0000 0.2216 1
Au1 0.0000 0.0000 0.7257 1
Cl1 0.0000 0.0000 0.5056 1
```

## iii
Material: Ca2AuCl
Method: DFT, PBE
State: relaxed

The structure in CIF format:
```
data_Ca2AuCl
_symmetry_space_group_name_H-M 'P 1 2/m 1'
_symmetry_Int_Tables_number 10
_symmetry_space_group_name_Hall '-P 2y'
_cell_length_a 3.848
_cell_length_b 3.627
_cell_length_c 7.893
_cell_angle_alpha 90.00
_cell_angle_beta 90.24
_cell_angle_gamma 90.00
loop_
_atom_site_label
_atom_site_fract_x
_atom_site_fract_y
_atom_site_fract_z
_atom_site_occupancy
Ca1 0.001 0.000 0.216 1
Au1 0.500 0.500 0.000 1
Cl1 0.000 0.500 0.500 1
```

## iv
Material: Ca2AuCl
Method: DFT, PBE
State: relaxed

The structure in CIF format:
```
data_Ca2AuCl
_symmetry_space_group_name_H-M 'P m m 2'
_symmetry_Int_Tables_number 25
_symmetry_space_group_name_Hall 'P 2 -2'
_cell_length_a 4.214
_cell_length_b 6.125
_cell_length_c 4.203
_cell_angle_alpha 90.00
_cell_angle_beta 90.00
_cell_angle_gamma 90.00
loop_
_atom_site_label
_atom_site_fract_x
_atom_site_fract_y
_atom_site_fract_z
_atom_site_occupancy
Ca1 0.000 0.000 0.000 1
Ca2 0.500 0.500 0.498 1
Au1 0.000 0.500 0.998 1
Cl1 0.500 0.000 0.500 1
```

Going by the energies, iii is most stable and the next is 52 meV/atom up.

## i
Material: CaAu3Cl
Method: DFT, PBE
State: relaxed

The structure in CIF format:
```
data_CaAu3Cl
_symmetry_space_group_name_H-M 'P m -3 m'
_symmetry_Int_Tables_number 221
_symmetry_space_group_name_Hall '-P 4 2 3'
_cell_length_a 5.507
_cell_length_b 5.507
_cell_length_c 5.507
_cell_angle_alpha 90.00
_cell_angle_beta 90.00
_cell_angle_gamma 90.00
loop_
_atom_site_label
_atom_site_fract_x
_atom_site_fract_y
_atom_site_fract_z
_atom_site_occupancy
Ca1 0.000 0.000 0.000 1
Au1 0.000 0.000 0.500 1
Cl1 0.500 0.500 0.500 1
```

## ii
Material: CaAu3Cl
Method: DFT, PBE
State: relaxed

The structure in CIF format:
```
data_CaAu3Cl
_symmetry_space_group_name_H-M 'P m -3 m'
_symmetry_Int_Tables_number 221
_symmetry_space_group_name_Hall '-P 4 2 3'
_cell_length_a 5.071
_cell_length_b 5.071
_cell_length_c 5.071
_cell_angle_alpha 90.00
_cell_angle_beta 90.00
_cell_angle_gamma 90.00
loop_
_atom_site_label
_atom_site_fract_x
_atom_site_fract_y
_atom_site_fract_z
_atom_site_occupancy
Ca1 0.000 0.000 0.000 1
Au1 0.000 0.500 0.500 1
Cl1 0.500 0.500 0.500 1
```

Going by the energies, ii is most stable and the next is 258 meV/atom up.

## i
Material: CaAuClF
Method: DFT, PBE
State: relaxed

The structure in CIF format:
```
data_CaAuClF
_symmetry_space_group_name_H-M 'P 1'
_symmetry_Int_Tables_number 1
_symmetry_space_group_name_Hall 'P 1'
_cell_length_a 3.654
_cell_length_b 5.212
_cell_length_c 6.609
_cell_angle_alpha 111.35
_cell_angle_beta 105.86
_cell_angle_gamma 90.07
loop_
_atom_site_label
_atom_site_fract_x
_atom_site_fract_y
_atom_site_fract_z
_atom_site_occupancy
Ca1 0.000 0.000 0.000 1
Au1 0.654 0.812 0.312 1
Cl1 0.663 0.331 0.328 1
F1 0.403 0.936 0.805 1
```

## ii
Material: CaAuClF
Method: DFT, PBE
State: relaxed

The structure in CIF format:
```
data_CaAuClF
_symmetry_space_group_name_H-M 'C 1 m 1'
_symmetry_Int_Tables_number 8
_symmetry_space_group_name_Hall 'C -2y'
_cell_length_a 6.203
_cell_length_b 3.607
_cell_length_c 8.713
_cell_angle_alpha 90.00
_cell_angle_beta 90.56
_cell_angle_gamma 90.00
loop_
_atom_site_label
_atom_site_fract_x
_atom_site_fract_y
_atom_site_fract_z
_atom_site_occupancy
Ca1 0.000 0.000 0.000 1
Au1 0.161 0.500 0.556 1
Cl1 0.169 0.500 0.198 1
F1 0.333 0.000 0.903 1
```

Going by the energies, ii is most stable and the next is 85 meV/atom up.

## i
Material: CaHAuSeClF
Method: DFT, PBE
State: relaxed

The structure in CIF format:
```
data_CaHAuSeClF
_symmetry_space_group_name_H-M 'P 1'
_symmetry_Int_Tables_number 1
_symmetry_space_group_name_Hall 'P 1'
_cell_length_a 3.957
_cell_length_b 4.609
_cell_length_c 9.479
_cell_angle_alpha 92.20
_cell_angle_beta 101.19
_cell_angle_gamma 115.40
loop_
_atom_site_label
_atom_site_fract_x
_atom_site_fract_y
_atom_site_fract_z
_atom_site_occupancy
Ca1 0.000 0.000 0.000 1
H1 0.984 0.439 0.578 1
Au1 0.172 0.976 0.405 1
Se1 0.881 0.386 0.415 1
Cl1 0.213 0.554 0.863 1
F1 0.628 0.180 0.083 1
```

## ii
Material: CaHAuSeClF
Method: DFT, PBE
State: relaxed

The structure in CIF format:
```
data_CaHAuSeClF
_symmetry_space_group_name_H-M 'P 1'
_symmetry_Int_Tables_number 1
_symmetry_space_group_name_Hall 'P 1'
_cell_length_a 4.582
_cell_length_b 5.935
_cell_length_c 6.415
_cell_angle_alpha 70.35
_cell_angle_beta 78.63
_cell_angle_gamma 82.16
loop_
_atom_site_label
_atom_site_fract_x
_atom_site_fract_y
_atom_site_fract_z
_atom_site_occupancy
Ca1 0.000 0.000 0.000 1
H1 0.917 0.382 0.034 1
Au1 0.889 0.606 0.808 1
Se1 0.867 0.991 0.501 1
Cl1 0.353 0.101 0.528 1
F1 0.488 0.979 0.039 1
```

Going by the energies, i is most stable and the next is 323 meV/atom up.

## i
Material: CaP2AuCl
Method: DFT, PBE
State: relaxed

The structure in CIF format:
```
data_CaP2AuCl
_symmetry_space_group_name_H-M 'P 4/m m m'
_symmetry_Int_Tables_number 123
_symmetry_space_group_name_Hall '-P 4 2'
_cell_length_a 5.473
_cell_length_b 5.473
_cell_length_c 5.036
_cell_angle_alpha 90.00
_cell_angle_beta 90.00
_cell_angle_gamma 90.00
loop_
_atom_site_label
_atom_site_fract_x
_atom_site_fract_y
_atom_site_fract_z
_atom_site_occupancy
Ca1 0.000 0.000 0.000 1
P1 0.000 0.500 0.000 1
Au1 0.500 0.500 0.500 1
Cl1 0.000 0.000 0.500 1
```

## ii
Material: CaP2AuCl
Method: DFT, PBE
State: relaxed

The structure in CIF format:
```
data_CaP2AuCl
_symmetry_space_group_name_H-M 'P 4/m m m'
_symmetry_Int_Tables_number 123
_symmetry_space_group_name_Hall '-P 4 2'
_cell_length_a 4.678
_cell_length_b 4.678
_cell_length_c 6.042
_cell_angle_alpha 90.00
_cell_angle_beta 90.00
_cell_angle_gamma 90.00
loop_
_atom_site_label
_atom_site_fract_x
_atom_site_fract_y
_atom_site_fract_z
_atom_site_occupancy
Ca1 0.000 0.000 0.000 1
P1 0.000 0.500 0.500 1
Au1 0.500 0.500 0.500 1
Cl1 0.500 0.500 0.000 1
```

Going by the energies, ii is most stable and the next is 654 meV/atom up.

## i
Material: CaAuSCl2
Method: DFT, PBE
State: relaxed

The structure in CIF format:
```
data_CaAuSCl2
_symmetry_space_group_name_H-M 'P 4/m m m'
_symmetry_Int_Tables_number 123
_symmetry_space_group_name_Hall '-P 4 2'
_cell_length_a 4.978
_cell_length_b 4.978
_cell_length_c 5.060
_cell_angle_alpha 90.00
_cell_angle_beta 90.00
_cell_angle_gamma 90.00
loop_
_atom_site_label
_atom_site_fract_x
_atom_site_fract_y
_atom_site_fract_z
_atom_site_occupancy
Ca1 0.000 0.000 0.000 1
Au1 0.500 0.500 0.500 1
S1 0.500 0.500 0.000 1
Cl1 0.000 0.500 0.500 1
```

## ii
Material: CaAuSCl2
Method: DFT, PBE
State: relaxed

The structure in CIF format:
```
data_CaAuSCl2
_symmetry_space_group_name_H-M 'P 4/m m m'
_symmetry_Int_Tables_number 123
_symmetry_space_group_name_Hall '-P 4 2'
_cell_length_a 5.181
_cell_length_b 5.181
_cell_length_c 5.641
_cell_angle_alpha 90.00
_cell_angle_beta 90.00
_cell_angle_gamma 90.00
loop_
_atom_site_label
_atom_site_fract_x
_atom_site_fract_y
_atom_site_fract_z
_atom_site_occupancy
Ca1 0.000 0.000 0.000 1
Au1 0.500 0.500 0.500 1
S1 0.000 0.000 0.500 1
Cl1 0.000 0.500 0.000 1
```

Going by the energies, i is most stable and the next is 280 meV/atom up.

## i
Material: CaTl2AuCl
Method: DFT, PBE
State: relaxed

The structure in CIF format:
```
data_CaTl2AuCl
_symmetry_space_group_name_H-M 'P 1'
_symmetry_Int_Tables_number 1
_symmetry_space_group_name_Hall 'P 1'
_cell_length_a 3.890
_cell_length_b 4.121
_cell_length_c 11.014
_cell_angle_alpha 82.83
_cell_angle_beta 80.07
_cell_angle_gamma 62.35
loop_
_atom_site_label
_atom_site_fract_x
_atom_site_fract_y
_atom_site_fract_z
_atom_site_occupancy
Ca1 0.000 0.000 0.000 1
Tl1 0.124 0.089 0.658 1
Tl2 0.522 0.531 0.441 1
Au1 0.741 0.686 0.822 1
Cl1 0.270 0.331 0.138 1
```

## ii
Material: CaTl2AuCl
Method: DFT, PBE
State: relaxed

The structure in CIF format:
```
data_CaTl2AuCl
_symmetry_space_group_name_H-M 'C 1 m 1'
_symmetry_Int_Tables_number 8
_symmetry_space_group_name_Hall 'C -2y'
_cell_length_a 7.402
_cell_length_b 4.168
_cell_length_c 10.414
_cell_angle_alpha 90.00
_cell_angle_beta 103.36
_cell_angle_gamma 90.00
loop_
_atom_site_label
_atom_site_fract_x
_atom_site_fract_y
_atom_site_fract_z
_atom_site_occupancy
Ca1 0.000 0.000 0.000 1
Tl1 0.234 0.000 0.670 1
Tl2 0.334 0.500 0.453 1
Au1 0.111 0.500 0.820 1
Cl1 0.377 0.000 0.140 1
```

## iii
Material: CaTl2AuCl
Method: DFT, PBE
State: relaxed

The structure in CIF format:
```
data_CaTl2AuCl
_symmetry_space_group_name_H-M 'P 1'
_symmetry_Int_Tables_number 1
_symmetry_space_group_name_Hall 'P 1'
_cell_length_a 4.257
_cell_length_b 4.273
_cell_length_c 10.013
_cell_angle_alpha 102.30
_cell_angle_beta 90.57
_cell_angle_gamma 118.07
loop_
_atom_site_label
_atom_site_fract_x
_atom_site_fract_y
_atom_site_fract_z
_atom_site_occupancy
Ca1 0.000 0.000 0.000 1
Tl1 0.162 0.311 0.468 1
Tl2 0.588 0.196 0.779 1
Au1 0.879 0.760 0.634 1
Cl1 0.380 0.746 0.129 1
```

## iv
Material: CaTl2AuCl
Method: DFT, PBE
State: relaxed

The structure in CIF format:
```
data_CaTl2AuCl
_symmetry_space_group_name_H-M 'C 1 m 1'
_symmetry_Int_Tables_number 8
_symmetry_space_group_name_Hall 'C -2y'
_cell_length_a 5.102
_cell_length_b 5.102
_cell_length_c 10.778
_cell_angle_alpha 90.00
_cell_angle_beta 103.58
_cell_angle_gamma 90.00
loop_
_atom_site_label
_atom_site_fract_x
_atom_site_fract_y
_atom_site_fract_z
_atom_site_occupancy
Ca1 0.000 0.000 0.000 1
Tl1 0.226 0.000 0.444 1
Tl2 0.391 0.000 0.778 1
Au1 0.315 0.500 0.625 1
Cl1 0.064 0.500 0.128 1
```

Going by the energies, ii is most stable and the next is 12 meV/atom up.

## i
Material: CaCoAu3
Method: DFT, PBE
State: relaxed

The structure in CIF format:
```
data_CaCoAu3
_symmetry_space_group_name_H-M 'P m -3 m'
_symmetry_Int_Tables_number 221
_symmetry_space_group_name_Hall '-P 4 2 3'
_cell_length_a 4.852
_cell_length_b 4.852
_cell_length_c 4.852
_cell_angle_alpha 90.00
_cell_angle_beta 90.00
_cell_angle_gamma 90.00
loop_
_atom_site_label
_atom_site_fract_x
_atom_site_fract_y
_atom_site_fract_z
_atom_site_occupancy
Ca1 0.000 0.000 0.000 1
Co1 0.500 0.500 0.500 1
Au1 0.000 0.500 0.500 1
```

## ii
Material: CaCoAu3
Method: DFT, PBE
State: relaxed

The structure in CIF format:
```
data_CaCoAu3
_symmetry_space_group_name_H-M 'P m -3 m'
_symmetry_Int_Tables_number 221
_symmetry_space_group_name_Hall '-P 4 2 3'
_cell_length_a 5.312
_cell_length_b 5.312
_cell_length_c 5.312
_cell_angle_alpha 90.00
_cell_angle_beta 90.00
_cell_angle_gamma 90.00
loop_
_atom_site_label
_atom_site_fract_x
_atom_site_fract_y
_atom_site_fract_z
_atom_site_occupancy
Ca1 0.000 0.000 0.000 1
Co1 0.500 0.500 0.500 1
Au1 0.000 0.000 0.500 1
```

Going by the energies, i is most stable and the next is 1100 meV/atom up.